Entry 1:
First-principles (GGA-PBE) data for crystalline LiTbCu2 at its relaxed geometry, as listed in the Alexandria database.

* excess energy over the best structure of this formula in the dataset: 0.044 eV per atom
* total magnetic moment: 0.0000 μB per atom
* final energy: -3.766 eV per atom
* energy relative to the elements: -0.082 eV/atom

a = 6.5966 Å, b = 6.5966 Å, c = 6.5966 Å
α = 90.00°, β = 90.00°, γ = 90.00°
Space group Fm-3m (No. 225)
Unique sites:
Li 0.0000 0.0000 0.0000 [4 per cell]
Tb 0.0000 0.0000 0.5000 [4 per cell]
Cu 0.2500 0.2500 0.2500 [8 per cell]

Entry 2:
First-principles (GGA-PBE) data for crystalline Nd5SmHo4 at its relaxed geometry, as listed in the Alexandria database.

* excess energy over the best structure of this formula in the dataset: 0.000 eV per atom
* total magnetic moment: 0.0000 μB per atom
* final energy: -4.671 eV per atom
* energy relative to the elements: 0.016 eV/atom

a = 18.7355 Å, b = 3.6180 Å, c = 10.2140 Å
α = 90.00°, β = 106.19°, γ = 90.00°
Space group C2/m (No. 12)
Unique sites:
Nd 0.0000 0.0000 0.0000 [2 per cell]
Nd 0.1005 0.5000 0.3038 [4 per cell]
Nd 0.2003 0.0000 0.1005 [4 per cell]
Sm 0.0000 0.0000 0.5000 [2 per cell]
Ho 0.1010 0.5000 0.7971 [4 per cell]
Ho 0.1998 0.0000 0.5998 [4 per cell]

Entry 3:
First-principles (GGA-PBE) data for crystalline CuBSe2 at its relaxed geometry, as listed in the Alexandria database.

* total magnetic moment: 0.0000 μB per atom
* final energy: -3.849 eV per atom

a = 3.6080 Å, b = 17.6483 Å, c = 4.5064 Å
α = 90.00°, β = 90.00°, γ = 90.00°
Space group Cmcm (No. 63)
Unique sites:
Cu 0.0000 0.1690 0.2500 [4 per cell]
B 0.0000 0.4364 0.2500 [4 per cell]
Se 0.0000 0.3237 0.2500 [4 per cell]
Se 0.0000 0.4486 0.7500 [4 per cell]

Entry 4:
First-principles (GGA-PBE) data for crystalline Sr2PmInHg6 at its relaxed geometry, as listed in the Alexandria database.

* total magnetic moment: 0.0000 μB per atom
* final energy: -1.352 eV per atom
* energy relative to the elements: -0.085 eV/atom

a = 11.4048 Å, b = 11.4048 Å, c = 11.4048 Å
α = 90.00°, β = 90.00°, γ = 90.00°
Space group Fm-3m (No. 225)
Unique sites:
Sr 0.2500 0.2500 0.2500 [8 per cell]
Pm 0.0000 0.0000 0.0000 [4 per cell]
In 0.0000 0.0000 0.5000 [4 per cell]
Hg 0.0000 0.0000 0.2562 [24 per cell]

Entry 5:
First-principles (GGA-PBE) data for crystalline TaSiSnGe2 at its relaxed geometry, as listed in the Alexandria database.

* total magnetic moment: 0.0000 μB per atom
* final energy: -5.306 eV per atom

a = 4.7072 Å, b = 4.7072 Å, c = 4.9610 Å
α = 90.00°, β = 90.00°, γ = 90.00°
Space group P4/mmm (No. 123)
Unique sites:
Ta 0.0000 0.0000 0.0000 [1 per cell]
Si 0.0000 0.0000 0.5000 [1 per cell]
Sn 0.5000 0.5000 0.0000 [1 per cell]
Ge 0.0000 0.5000 0.5000 [2 per cell]

Entry 6:
First-principles (GGA-PBE) data for crystalline LiTm4Hg7 at its relaxed geometry, as listed in the Alexandria database.

* total magnetic moment: 0.0000 μB per atom
* final energy: -2.132 eV per atom
* energy relative to the elements: -0.306 eV/atom

a = 12.6676 Å, b = 5.2059 Å, c = 10.7182 Å
α = 90.00°, β = 120.42°, γ = 90.00°
Space group C2/m (No. 12)
Unique sites:
Li 0.0000 0.0000 0.0000 [2 per cell]
Tm 0.0810 0.5000 0.7756 [4 per cell]
Tm 0.2334 0.5000 0.3154 [4 per cell]
Hg 0.0000 0.5000 0.0000 [2 per cell]
Hg 0.0755 0.0000 0.3341 [4 per cell]
Hg 0.1372 0.5000 0.5321 [4 per cell]
Hg 0.1978 0.0000 0.9192 [4 per cell]

Entry 7:
First-principles (GGA-PBE) data for crystalline Zr5CoOs4 at its relaxed geometry, as listed in the Alexandria database.

* total magnetic moment: 0.1340 μB per atom
* final energy: -9.947 eV per atom
* energy relative to the elements: -0.470 eV/atom

a = 3.2622 Å, b = 3.2622 Å, c = 16.4838 Å
α = 90.00°, β = 90.00°, γ = 90.00°
Space group P4/mmm (No. 123)
Unique sites:
Zr 0.0000 0.0000 0.0000 [1 per cell]
Zr 0.0000 0.0000 0.2017 [2 per cell]
Zr 0.0000 0.0000 0.4030 [2 per cell]
Co 0.5000 0.5000 0.5000 [1 per cell]
Os 0.5000 0.5000 0.1009 [2 per cell]
Os 0.5000 0.5000 0.3025 [2 per cell]

Entry 8:
First-principles (GGA-PBE) data for crystalline GdLuBi2 at its relaxed geometry, as listed in the Alexandria database.

* excess energy over the best structure of this formula in the dataset: 0.000 eV per atom
* total magnetic moment: 1.7543 μB per atom
* final energy: -7.409 eV per atom
* energy relative to the elements: -0.818 eV/atom

a = 4.4690 Å, b = 4.4690 Å, c = 21.8600 Å
α = 90.00°, β = 90.00°, γ = 120.00°
Space group R-3m (No. 166, hexagonal axes)
Unique sites:
Gd 0.0000 0.0000 0.0000 [3 per cell]
Lu 0.0000 0.0000 0.5000 [3 per cell]
Bi 0.0000 0.0000 0.2476 [6 per cell]